[1]
ReAu2SeN | PBEsol | relaxed

Results
Formation energy without anion corrections = 0.89 eV/atom

Cell: 3.7028 5.0857 5.0857 Å, 90.00 90.00 90.00°
Fractional positions:
Re 0.0000 0.0000 0.0000
Au 0.0000 0.0000 0.5000
Au 0.0000 0.5000 0.0000
Se 0.5000 0.5000 0.5000
N 0.5000 0.0000 0.0000

[2]
Be2NiCl | PBEsol | relaxed

Results
Formation energy without anion corrections = 0.47 eV/atom

Cell: 3.3824 3.3824 4.5075 Å, 112.04 112.04 90.00°
Fractional positions:
Ni 0.0000 0.0000 0.0000
Be 0.7500 0.2500 0.5000
Be 0.2500 0.7500 0.5000
Cl 0.5000 0.5000 0.0000

[3]
YCoNi3 | PBEsol | relaxed

Results
Energy of formation from the pure elements = 0.32 eV/atom

Cell: 4.2770 4.2770 4.2770 Å, 90.00 90.00 90.00°
Last column: magnetic moment on the atom in μB.
Fractional positions:
Y 0.5000 0.5000 0.5000  -0.08
Ni 0.0000 0.5000 0.0000  0.53
Ni 0.0000 0.0000 0.5000  0.53
Ni 0.5000 0.0000 0.0000  0.53
Co 0.0000 0.0000 0.0000  1.63

[4]
AlSbCl | PBEsol | relaxed

Results
Formation energy without anion corrections = -0.25 eV/atom

Cell: 3.3406 3.3406 7.4732 Å, 96.39 96.39 120.13°
Fractional positions:
Sb 0.3595 0.3595 0.7190
Al 0.0110 0.0110 0.0219
Cl 0.6295 0.6295 0.2591

no.,E (Ry per atom)
1,-0.42814
2,-0.26231
3,-0.46186
4,-0.27945